(one)
Cr2PS: relaxed, PBE.

extended XYZ file:
```
8
Lattice="-2.6558 2.6558 5.3340 2.6558 -2.6558 5.3340 2.6558 2.6558 -5.3340" Properties=species:S:1:pos:R:3 pbc="T T T"
Cr 3.9837 1.3251 -1.3335
Cr 1.3251 1.3279 1.3335
Cr -1.3279 1.3307 4.0005
Cr 1.3307 1.3279 6.6675
P 2.6558 0.0000 2.6670
P 0.0000 0.0000 5.3340
S 0.0000 0.0000 0.0000
S 0.0000 2.6558 2.6670
```

Summary:
**Spin magnetization**: 11.45 μB per cell
**Space-group type**: No. 122
**Crystal system**: tetragonal

(two)
Cr2PS: relaxed, PBE.

extended XYZ file:
```
4
Lattice="0.0000 2.8459 2.8459 2.8459 0.0000 2.8459 2.8459 2.8459 0.0000" Properties=species:S:1:pos:R:3 pbc="T T T"
Cr 1.4229 1.4229 1.4229
Cr 4.2688 4.2688 4.2688
P 0.0000 0.0000 0.0000
S 2.8459 2.8459 2.8459
```

Summary:
**Spin magnetization**: 0.00 μB per cell
**Space-group type**: No. 225
**Crystal system**: cubic

Winner for stability: (one)

(one)
CrPS3: relaxed, PBE.

extended XYZ file:
```
5
Lattice="4.4149 0.0000 0.0000 0.0000 4.4149 0.0000 0.0000 0.0000 4.4149" Properties=species:S:1:pos:R:3 pbc="T T T"
Cr 0.0000 0.0000 0.0000
P 2.2075 2.2075 2.2075
S 0.0000 2.2075 2.2075
S 2.2075 0.0000 2.2075
S 2.2075 2.2075 0.0000
```

Summary:
**Spin magnetization**: 0.20 μB per cell
**Space-group type**: No. 221
**Crystal system**: cubic

(two)
CrPS3: relaxed, PBE.

extended XYZ file:
```
5
Lattice="4.4716 0.0000 0.0000 0.0000 4.4716 0.0000 0.0000 0.0000 4.4716" Properties=species:S:1:pos:R:3 pbc="T T T"
Cr 0.0000 0.0000 0.0000
P 2.2358 2.2358 2.2358
S 0.0000 0.0000 2.2358
S 0.0000 2.2358 0.0000
S 2.2358 0.0000 0.0000
```

Summary:
**Spin magnetization**: 1.82 μB per cell
**Space-group type**: No. 221
**Crystal system**: cubic

Winner for stability: (two)

(one)
CrSbP2S: relaxed, PBE.

extended XYZ file:
```
5
Lattice="4.7445 0.0000 0.0000 0.0000 4.7445 0.0000 0.0000 0.0000 4.2131" Properties=species:S:1:pos:R:3 pbc="T T T"
Cr 0.0000 0.0000 0.0000
Sb 2.3722 2.3722 2.1065
P 0.0000 2.3722 0.0000
P 2.3722 0.0000 0.0000
S 0.0000 0.0000 2.1065
```

Summary:
**Spin magnetization**: 1.09 μB per cell
**Space-group type**: No. 123
**Crystal system**: tetragonal

(two)
CrSbP2S: relaxed, PBE.

extended XYZ file:
```
5
Lattice="5.0475 0.0000 0.0000 0.0000 5.0475 0.0000 0.0000 0.0000 4.9636" Properties=species:S:1:pos:R:3 pbc="T T T"
Cr 0.0000 0.0000 0.0000
Sb 2.5237 2.5237 2.4818
P 0.0000 2.5237 2.4818
P 2.5237 0.0000 2.4818
S 2.5237 2.5237 0.0000
```

Summary:
**Spin magnetization**: 3.05 μB per cell
**Space-group type**: No. 123
**Crystal system**: tetragonal

Winner for stability: (one)